Entry 1:
This record from the Alexandria database describes InReNi2 after structural relaxation. The functional is GGA-PBE.

Unit cell a=8.8902 b=8.8902 c=8.8902 alpha=154.53 beta=154.53 gamma=36.33
Atoms (fractional coordinates):
In 0.0000 0.0000 0.0000
In 0.7500 0.2500 0.5000
Re 0.2500 0.7500 0.5000
Re 0.5000 0.5000 0.0000
Ni 0.1711 0.6250 0.0461
Ni 0.3750 0.4211 0.5461
Ni 0.5789 0.1250 0.9539
Ni 0.8750 0.8289 0.4539

Summary:
**Total DFT energy (no corrections)**: -0.43610 Ry/atom
**Symmetry**: I-42d
**Magnetic moment**: 0.000 μB per atom
**ΔE_f**: 0.7539 eV per atom

=====

Entry 2:
This record from the Alexandria database describes InReNi3 after structural relaxation. The functional is GGA-PBE.

Unit cell a=4.5493 b=4.5493 c=4.5493 alpha=90.00 beta=90.00 gamma=90.00
Atoms (fractional coordinates):
In 0.0000 0.0000 0.0000
Re 0.5000 0.5000 0.5000
Ni 0.0000 0.5000 0.5000
Ni 0.5000 0.0000 0.5000
Ni 0.5000 0.5000 0.0000

Summary:
**Total DFT energy (no corrections)**: -0.39422 Ry/atom
**Symmetry**: Pm-3m
**Excess energy over the best structure of this formula in the dataset**: 0.000 eV/atom
**Magnetic moment**: 0.000 μB per atom
**ΔE_f**: 1.1424 eV per atom